Record 1
Compound: La2Zn
Source: the Alexandria database
Functional: GGA-PBE
Structure: relaxed

## Properties
Energy: -11.2 eV/cell
Calculated volume: 98.72 Å³/f.u.
Magnetization: 0.00 μB/f.u.
Density of states at the Fermi level: 1.502 states/eV/atom
Space group: P4/mmm (123)
ΔE_f: -19 meV/atom

a = 5.2545 Å, b = 5.2545 Å, c = 3.5756 Å
α = 90.00°, β = 90.00°, γ = 90.00°
Fractional coordinates of all 3 atoms:
La 0.0000 0.5000 0.5000
La 0.5000 0.0000 0.5000
Zn 0.0000 0.0000 0.0000

Record 2
Compound: La2Zn
Source: the Alexandria database
Functional: GGA-PBE
Structure: relaxed

## Properties
Energy: -22.9 eV/cell
Calculated volume: 92.14 Å³/f.u.
Magnetization: 0.00 μB/f.u.
Density of states at the Fermi level: 1.247 states/eV/atom
Space group: I4_1/amd (141)
ΔE_f: -108 meV/atom

a = 13.1892 Å, b = 13.1892 Å, c = 13.1892 Å
α = 163.53°, β = 163.53°, γ = 23.37°
Fractional coordinates of all 6 atoms:
La 0.3183 0.8183 0.5000
La 0.1817 0.6817 0.5000
La 0.5683 0.5683 0.0000
La 0.4317 0.4317 0.0000
Zn 0.0000 0.0000 0.0000
Zn 0.7500 0.2500 0.5000

Record 3
Compound: La5Zn
Source: the Alexandria database
Functional: GGA-PBE
Structure: relaxed

## Properties
Energy: -26.1 eV/cell
Calculated volume: 197.62 Å³/f.u.
Magnetization: 0.00 μB/f.u.
Density of states at the Fermi level: 1.291 states/eV/atom
Space group: Amm2 (38)
ΔE_f: -28 meV/atom
Polymorph energy (0 for the lowest one): 7.4 kJ/mol of atoms

a = 3.7434 Å, b = 9.2044 Å, c = 5.8578 Å
α = 90.00°, β = 90.00°, γ = 78.27°
Fractional coordinates of all 6 atoms:
La 0.0090 0.9819 0.0000
La 0.6818 0.6364 0.0000
La 0.3520 0.2960 0.0000
La 0.5225 0.9549 0.5000
La 0.2250 0.5501 0.5000
Zn 0.8763 0.2474 0.5000

Record 4
Compound: LaZn
Source: the Alexandria database
Functional: GGA-PBE
Structure: relaxed

## Properties
Energy: -12.8 eV/cell
Calculated volume: 54.64 Å³/f.u.
Magnetization: 0.29 μB/f.u.
Density of states at the Fermi level: 1.198 states/eV/atom
Space group: P4/nmm (129)
ΔE_f: -97 meV/atom

a = 3.8018 Å, b = 3.8018 Å, c = 7.5613 Å
α = 90.00°, β = 90.00°, γ = 90.00°
Last column: magnetic moment on the atom in μB.
Fractional coordinates of all 4 atoms:
La 0.2500 0.2500 0.1747  0.12
La 0.7500 0.7500 0.8253  0.12
Zn 0.2500 0.2500 0.5918  0.00
Zn 0.7500 0.7500 0.4082  0.00

Record 5
Compound: LaZn3
Source: the Alexandria database
Functional: GGA-PBE
Structure: relaxed

## Properties
Energy: -19.8 eV/cell
Calculated volume: 85.83 Å³/f.u.
Magnetization: 0.00 μB/f.u.
Density of states at the Fermi level: 0.652 states/eV/atom
Space group: P6_3/mmc (194)
ΔE_f: -290 meV/atom

a = 4.4249 Å, b = 6.6937 Å, c = 6.6935 Å
α = 120.02°, β = 90.00°, γ = 90.00°
Fractional coordinates of all 8 atoms:
Zn 0.7500 0.8609 0.1391
Zn 0.7500 0.2783 0.1393
Zn 0.7500 0.8607 0.7217
Zn 0.2500 0.1391 0.8609
Zn 0.2500 0.7217 0.8607
Zn 0.2500 0.1393 0.2783
La 0.2500 0.6667 0.3332
La 0.7500 0.3333 0.6668

Record 6
Compound: LaZn11
Source: the Alexandria database
Functional: GGA-PBE
Structure: relaxed

## Properties
Energy: -43.2 eV/cell
Calculated volume: 196.70 Å³/f.u.
Magnetization: 0.00 μB/f.u.
Density of states at the Fermi level: 0.329 states/eV/atom
Space group: I4_1/amd (141)
ΔE_f: -223 meV/atom

a = 8.2926 Å, b = 8.2926 Å, c = 8.2926 Å
α = 100.06°, β = 100.06°, γ = 130.60°
Fractional coordinates of all 24 atoms:
La 0.2500 0.7500 0.5000
La 0.0000 0.0000 0.0000
Zn 0.9030 0.5751 0.0841
Zn 0.6250 0.8750 0.2500
Zn 0.4249 0.5090 0.3279
Zn 0.4910 0.5751 0.6721
Zn 0.4249 0.0970 0.9159
Zn 0.7590 0.1749 0.8279
Zn 0.4910 0.8189 0.9159
Zn 0.5000 0.5000 0.0000
Zn 0.7590 0.9311 0.5841
Zn 0.7500 0.2500 0.5000
Zn 0.0689 0.6530 0.8279
Zn 0.1250 0.3750 0.7500
Zn 0.3470 0.1749 0.4159
Zn 0.8251 0.6530 0.5841
Zn 0.9030 0.8189 0.3279
Zn 0.1811 0.0970 0.6721
Zn 0.0689 0.2410 0.4159
Zn 0.3470 0.9311 0.1721
Zn 0.8251 0.2410 0.1721
Zn 0.1811 0.5090 0.0841
Zn 0.6250 0.3750 0.2500
Zn 0.6250 0.3750 0.7500